Record 1
Entry from the Alexandria database: a geometry-optimized Sr3CaN2Cl2 structure (GGA-PBEsol).

Unit cell a=13.9501 b=3.7925 c=6.5724 alpha=90.00 beta=98.98 gamma=90.00
Space group Cm (No. 8)
Asymmetric unit:
Sr1 0.0000 0.0000 0.0000 x2
Sr2 0.0026 0.5000 0.4983 x2
Sr3 0.3061 0.0000 0.7663 x2
Ca1 0.3162 0.5000 0.2732 x2
N1 0.4018 0.0000 0.1391 x2
N2 0.4040 0.5000 0.6267 x2
Cl1 0.1565 0.5000 0.8931 x2
Cl2 0.1612 0.0000 0.3758 x2

Output
Its uncorrected formation energy is -1531 meV per atom.

Record 2
Entry from the Alexandria database: a geometry-optimized Ca2WNCl structure (GGA-PBEsol).

Unit cell a=5.2503 b=5.2503 c=3.9894 alpha=90.00 beta=90.00 gamma=90.00
Space group P4/mmm (No. 123)
Asymmetric unit:
Ca1 0.0000 0.5000 0.0000 x2
W1 0.0000 0.0000 0.5000 x1
N1 0.5000 0.5000 0.5000 x1
Cl1 0.5000 0.5000 0.0000 x1

Output
Its uncorrected formation energy is 1208 meV per atom.

Record 3
Entry from the Alexandria database: a geometry-optimized CaZnNCl2 structure (GGA-PBEsol).

Unit cell a=5.2856 b=5.2856 c=4.6852 alpha=90.00 beta=90.00 gamma=90.00
Space group P4/mmm (No. 123)
Asymmetric unit:
Ca1 0.0000 0.0000 0.0000 x1
Zn1 0.5000 0.5000 0.5000 x1
N1 0.0000 0.0000 0.5000 x1
Cl1 0.0000 0.5000 0.0000 x2

Output
Its uncorrected formation energy is -75 meV per atom.

Record 4
Entry from the Alexandria database: a geometry-optimized NaCa2Cl structure (GGA-PBEsol).

Unit cell a=8.0343 b=8.0343 c=8.0343 alpha=90.00 beta=90.00 gamma=90.00
Space group Fm-3m (No. 225)
Asymmetric unit:
Na1 0.0000 0.0000 0.0000 x4
Ca1 0.2500 0.2500 0.2500 x8
Cl1 0.0000 0.0000 0.5000 x4

Output
Its uncorrected formation energy is -351 meV per atom.

Record 5
Entry from the Alexandria database: a geometry-optimized NaCaP2Cl structure (GGA-PBEsol).

Unit cell a=5.3923 b=5.3923 c=5.2532 alpha=90.00 beta=90.00 gamma=90.00
Space group P4/mmm (No. 123)
Asymmetric unit:
Na1 0.0000 0.0000 0.0000 x1
Ca1 0.5000 0.5000 0.5000 x1
P1 0.0000 0.5000 0.5000 x2
Cl1 0.5000 0.5000 0.0000 x1

Output
Its uncorrected formation energy is -6 meV per atom.

Record 6
Entry from the Alexandria database: a geometry-optimized CaNbP2Cl structure (GGA-PBEsol).

Unit cell a=4.8191 b=4.8191 c=4.8506 alpha=90.00 beta=90.00 gamma=90.00
Space group P4/mmm (No. 123)
Asymmetric unit:
Ca1 0.0000 0.0000 0.0000 x1
Nb1 0.5000 0.5000 0.5000 x1
P1 0.0000 0.5000 0.5000 x2
Cl1 0.5000 0.5000 0.0000 x1

Output
Its uncorrected formation energy is -617 meV per atom.

Record 7
Entry from the Alexandria database: a geometry-optimized CaNiCl3 structure (GGA-PBEsol).

Unit cell a=5.1876 b=5.1876 c=5.1876 alpha=90.00 beta=90.00 gamma=90.00
Space group Pm-3m (No. 221)
Asymmetric unit:
Ca1 0.0000 0.0000 0.0000 x1
Ni1 0.5000 0.5000 0.5000 x1
Cl1 0.0000 0.0000 0.5000 x3

Output
Its uncorrected formation energy is -674 meV per atom.

Record 8
Entry from the Alexandria database: a geometry-optimized CaNiSbCl2 structure (GGA-PBEsol).

Unit cell a=4.8977 b=4.8977 c=5.8161 alpha=90.00 beta=90.00 gamma=90.00
Space group P4/mmm (No. 123)
Asymmetric unit:
Ca1 0.0000 0.0000 0.0000 x1
Ni1 0.0000 0.0000 0.5000 x1
Sb1 0.5000 0.5000 0.5000 x1
Cl1 0.0000 0.5000 0.0000 x2

Output
Its uncorrected formation energy is -83 meV per atom.

Record 9
Entry from the Alexandria database: a geometry-optimized Ca2ClO structure (GGA-PBEsol).

Unit cell a=5.9857 b=5.9857 c=10.6245 alpha=90.00 beta=90.00 gamma=90.00
Space group I-42d (No. 122)
Asymmetric unit:
Ca1 0.1693 0.7500 0.1250 x8
Cl1 0.0000 0.0000 0.5000 x4
O1 0.0000 0.0000 0.0000 x4

Output
Its uncorrected formation energy is -2142 meV per atom.

Record 10
Entry from the Alexandria database: a geometry-optimized Ca5P3ClO12 structure (GGA-PBEsol).

Unit cell a=9.6871 b=9.6871 c=6.6484 alpha=90.00 beta=90.00 gamma=120.00
Space group P6_3/m (No. 176)
Asymmetric unit:
Ca1 0.0179 0.7553 0.2500 x6
Ca2 0.3333 0.6667 0.5044 x4
P1 0.0323 0.4115 0.2500 x6
Cl1 0.0000 0.0000 0.0000 x2
O1 0.0855 0.3542 0.0630 x12
O2 0.1316 0.5975 0.2500 x6
O3 0.1474 0.6478 0.7500 x6

Output
Its uncorrected formation energy is -2923 meV per atom.

Record 11
Entry from the Alexandria database: a geometry-optimized Ca2P3Pb3ClO12 structure (GGA-PBEsol).

Unit cell a=9.8325 b=9.8325 c=7.0430 alpha=90.00 beta=90.00 gamma=120.00
Space group P6_3/m (No. 176)
Asymmetric unit:
Ca1 0.3333 0.6667 0.0056 x4
P1 0.0341 0.6124 0.7500 x6
Pb1 0.0141 0.2576 0.7500 x6
Cl1 0.0000 0.0000 0.0000 x2
O1 0.0850 0.7204 0.5725 x12
O2 0.1401 0.5346 0.7500 x6
O3 0.1416 0.5130 0.2500 x6

Output
Its uncorrected formation energy is -2301 meV per atom.

Record 12
Entry from the Alexandria database: a geometry-optimized Ca4Si6Pb6Cl2O21 structure (GGA-PBEsol).

Unit cell a=10.1050 b=10.1050 c=13.2445 alpha=90.00 beta=90.00 gamma=120.00
Space group P6_3/m (No. 176)
Asymmetric unit:
Ca1 0.3333 0.6667 0.0065 x4
Ca2 0.3333 0.6667 0.2500 x2
Ca3 0.3333 0.6667 0.7500 x2
Si1 0.0270 0.6037 0.6358 x12
Pb1 0.0100 0.2655 0.6095 x12
Cl1 0.0000 0.0000 0.0000 x2
Cl2 0.0000 0.0000 0.2500 x2
O1 0.0739 0.6883 0.7500 x6
O2 0.0747 0.7448 0.5549 x12
O3 0.1430 0.5348 0.6209 x12
O4 0.1490 0.5272 0.1284 x12

Output
Its uncorrected formation energy is -2409 meV per atom.

Record 13
Entry from the Alexandria database: a geometry-optimized CaSCl2O structure (GGA-PBEsol).

Unit cell a=5.2177 b=5.2177 c=5.6432 alpha=90.00 beta=90.00 gamma=90.00
Space group P4/mmm (No. 123)
Asymmetric unit:
Ca1 0.0000 0.0000 0.0000 x1
S1 0.0000 0.0000 0.5000 x1
Cl1 0.0000 0.5000 0.0000 x2
O1 0.5000 0.5000 0.5000 x1

Output
Its uncorrected formation energy is -70 meV per atom.

Record 14
Entry from the Alexandria database: a geometry-optimized Ca2SiCl2O3 structure (GGA-PBEsol).

Unit cell a=10.6504 b=10.6504 c=9.3232 alpha=90.00 beta=90.00 gamma=90.00
Space group I4/m (No. 87)
Asymmetric unit:
Ca1 0.0794 0.7483 0.2346 x16
Si1 0.1041 0.1894 0.5000 x8
Cl1 0.0000 0.0000 0.2146 x4
Cl2 0.0000 0.5000 0.2500 x4
Cl3 0.0800 0.2562 0.0000 x8
O1 0.0507 0.8252 0.5000 x8
O2 0.1374 0.2512 0.3469 x16

Output
Its uncorrected formation energy is -2811 meV per atom.

Record 15
Entry from the Alexandria database: a geometry-optimized Ca5V3ClO12 structure (GGA-PBEsol).

Unit cell a=10.1451 b=10.1451 c=6.6388 alpha=90.00 beta=90.00 gamma=120.00
Space group P6_3/m (No. 176)
Asymmetric unit:
Ca1 0.0356 0.7667 0.2500 x6
Ca2 0.3333 0.6667 0.5039 x4
V1 0.0312 0.4154 0.2500 x6
Cl1 0.0000 0.0000 0.0000 x2
O1 0.0862 0.3501 0.0474 x12
O2 0.1437 0.6126 0.2500 x6
O3 0.1563 0.6406 0.7500 x6

Output
Its uncorrected formation energy is -2873 meV per atom.

Record 16
Entry from the Alexandria database: a geometry-optimized CaOs2Cl structure (GGA-PBEsol).

Unit cell a=6.3901 b=6.3901 c=6.3901 alpha=90.00 beta=90.00 gamma=90.00
Space group Fm-3m (No. 225)
Asymmetric unit:
Ca1 0.0000 0.0000 0.0000 x4
Os1 0.2500 0.2500 0.2500 x8
Cl1 0.0000 0.0000 0.5000 x4

Output
For the excess energy over the best structure of this formula in the dataset, the calculation gives 1346 meV/atom. Its uncorrected formation energy is 1625 meV per atom.